No. 1
Computed, not measured: Mn2TlPtCl after structural relaxation at the GGA-PBE level of DFT.

Values from the calculation:
ΔE_f (raw) = 1331 meV per atom

Cell lengths 5.2242, 5.1962, 5.2242 Å; angles 90.00, 90.00, 90.00 degrees
With the nearest neighbours (Å) after each atom.
Positions (direct):
Mn 0.5000 0.0000 0.0000  2 Tl 2.61
Mn 0.0000 0.0000 0.5000  2 Tl 2.61
Tl 0.0000 0.0000 0.0000  2 Cl 2.60, 4 Mn 2.61
Pt 0.5000 0.5000 0.5000  8 Mn 3.68, 4 Cl 3.69
Cl 0.0000 0.5000 0.0000  2 Tl 2.60

***

No. 2
Computed, not measured: Na2HfFe after structural relaxation at the GGA-PBE level of DFT.

Values from the calculation:
Energy relative to the elements = 70.2 kJ per mole of atoms
E above lowest polymorph = 0 meV/atom

Cell lengths 3.6751, 3.6751, 11.8777 Å; angles 81.10, 81.10, 90.00 degrees
With the nearest neighbours (Å) after each atom.
Positions (direct):
Na 0.1423 0.6250 0.2500  4 Na 2.51-2.69
Na 0.3750 0.3923 0.7500  4 Na 2.51-2.69
Na 0.8750 0.8577 0.7500  4 Na 2.51-2.69
Na 0.6077 0.1250 0.2500  4 Na 2.51-2.69
Fe 0.5000 0.5000 0.0000  4 Hf 2.60
Fe 0.2500 0.7500 0.5000  4 Hf 2.60
Hf 0.7500 0.2500 0.5000  4 Fe 2.60
Hf 0.0000 0.0000 0.0000  4 Fe 2.60

***

No. 3
Computed, not measured: Pu3URh3 after structural relaxation at the GGA-PBE level of DFT.

Values from the calculation:
Energy relative to the elements = -25.8 kJ per mole of atoms

Cell lengths 6.4663, 6.4662, 6.9125 Å; angles 90.00, 90.00, 91.75 degrees
With the nearest neighbours (Å) after each atom.
Positions (direct):
Rh 0.0000 0.5000 0.2546  6 Pu 2.85-2.94, 2 U 2.92
Rh 0.0000 0.5000 0.7454  6 Pu 2.85-2.94, 2 U 2.92
Rh 0.4999 0.0000 0.7454  6 Pu 2.85-2.94, 2 U 2.92
Rh 0.0000 0.0000 0.1995  1 Rh 2.76, 2 Pu 2.80, 2 U 2.83
Rh 0.5001 0.0000 0.2546  6 Pu 2.85-2.94, 2 U 2.92
Rh 0.0000 0.0000 0.8005  1 Rh 2.76, 2 Pu 2.80, 2 U 2.83
Pu 0.7980 0.2020 0.5000  6 Rh 2.80-2.85
Pu 0.2020 0.7980 0.5000  6 Rh 2.80-2.85
Pu 0.6904 0.3096 0.0000  2 U 2.69, 4 Rh 2.91
Pu 0.3096 0.6904 0.0000  2 U 2.69, 4 Rh 2.91
Pu 0.3163 0.3163 0.4999  4 Rh 2.94, 2 Pu 3.22
Pu 0.6837 0.6837 0.5001  4 Rh 2.94, 2 Pu 3.22
U 0.7255 0.7255 0.0000  2 Pu 2.69, 6 Rh 2.83-2.92
U 0.2745 0.2745 0.0000  2 Pu 2.69, 6 Rh 2.83-2.92

***

No. 4
Computed, not measured: CeTmIn after structural relaxation at the GGA-PBE level of DFT.

Values from the calculation:
Energy relative to the elements = 8.2 kJ per mole of atoms
E above lowest polymorph = 356 meV/atom

Cell lengths 3.2566, 3.2508, 8.4679 Å; angles 78.95, 101.09, 90.00 degrees
With the nearest neighbours (Å) after each atom.
Positions (direct):
Tm 0.4870 0.3468 0.9739  4 Tm 3.25-3.26, 4 In 3.27, 2 Ce 3.38
Ce 0.6689 0.6639 0.3377  4 Ce 3.25-3.26, 2 In 3.29, 2 Tm 3.38
In 0.8442 0.9893 0.6883  4 In 3.25-3.26, 4 Tm 3.27, 2 Ce 3.29

***

No. 5
Computed, not measured: KAlH2 after structural relaxation at the GGA-PBE level of DFT.

Values from the calculation:
E above lowest polymorph = 413 meV/atom

Cell lengths 4.9760, 4.9760, 6.7783 Å; angles 68.47, 68.47, 90.00 degrees
With the nearest neighbours (Å) after each atom.
Positions (direct):
H 0.3767 0.1250 0.2500  2 Al 1.91
H 0.3750 0.6233 0.7500  2 Al 1.91
H 0.8750 0.6267 0.7500  2 Al 1.91
H 0.3733 0.6250 0.2500  2 Al 1.91
Al 0.2500 0.7500 0.5000  4 H 1.91
Al 0.5000 0.5000 0.0000  4 H 1.91
K 0.0000 0.0000 0.0000  8 H 3.13-3.14
K 0.7500 0.2500 0.5000  8 H 3.13-3.14

***

No. 6
Computed, not measured: HgAsSe2 after structural relaxation at the GGA-PBE level of DFT.

Values from the calculation:
ΔE_f (raw) = 67 meV per atom
E above lowest polymorph = 133 meV/atom

Cell lengths 7.0467, 7.0467, 4.2254 Å; angles 92.55, 92.55, 30.01 degrees
With the nearest neighbours (Å) after each atom.
Positions (direct):
Hg 0.2228 0.2228 0.1525  3 Se 2.78-2.85
As 0.4544 0.4544 0.6761  4 Se 2.56-2.75
Se 0.8033 0.8033 0.6147  2 As 2.75, 2 Hg 2.85
Se 0.0196 0.0196 0.0567  2 As 2.56, 1 Hg 2.78

***

No. 7
Computed, not measured: SmHo2Rh after structural relaxation at the GGA-PBE level of DFT.

Values from the calculation:
Energy relative to the elements = -17.0 kJ per mole of atoms
E above lowest polymorph = 340 meV/atom

Cell lengths 3.6513, 3.6513, 10.7458 Å; angles 80.22, 80.22, 60.00 degrees
With the nearest neighbours (Å) after each atom.
Positions (direct):
Ho 0.1120 0.1120 0.6641  3 Rh 2.73
Ho 0.8880 0.8880 0.3359  3 Rh 2.73
Sm 0.0000 0.0000 0.0000  2 Ho 3.54, 6 Sm 3.65
Rh 0.5000 0.5000 0.5000  6 Ho 2.73

***

No. 8
Computed, not measured: BaCdCl4 after structural relaxation at the GGA-PBE level of DFT.

Values from the calculation:
ΔE_f (raw) = -708 meV per atom
E above lowest polymorph = 1100 meV/atom

Cell lengths 6.1993, 6.1993, 6.1993 Å; angles 60.00, 60.00, 60.00 degrees
With the nearest neighbours (Å) after each atom.
Positions (direct):
Cl 0.3745 0.3745 0.3745  6 Cl 3.09-3.11
Cl 0.3745 0.8764 0.3745  6 Cl 3.09-3.11
Cl 0.8764 0.3745 0.3745  6 Cl 3.09-3.11
Cl 0.3745 0.3745 0.8764  6 Cl 3.09-3.11
Cd 0.0000 0.0000 0.0000  12 Cl 3.63, 4 Ba 3.80
Ba 0.7500 0.7500 0.7500  12 Cl 3.64, 4 Cd 3.80

***

Q: Which formula does entry 2 have?
A: Na2HfFe